(1)
{"formula": "Li3Zn2Au", "functional": "PBE", "state": "relaxed", "lattice": [[4.470, 0.000, 0.000], [0.000, 6.057, -0.779], [-2.235, -2.334, 7.095]], "species": ["Li", "Zn", "Zn", "Au", "Li", "Li", "Li", "Au", "Li", "Zn", "Li", "Zn"], "frac_coords": [[0.918, 0.287, 0.836], [0.240, 0.606, 0.481], [0.760, 0.394, 0.519], [0.403, 0.038, 0.806], [0.585, 0.450, 0.170], [0.243, 0.120, 0.485], [0.082, 0.713, 0.164], [0.597, 0.962, 0.194], [0.415, 0.550, 0.830], [0.921, 0.795, 0.841], [0.757, 0.880, 0.515], [0.079, 0.205, 0.159]], "formation_energy_ev_per_atom": -0.288, "energy_ev_per_atom": -2.22}

=====

(2)
{"formula": "LiZn3Au5", "functional": "PBE", "state": "relaxed", "lattice": [[5.619, 0.000, 0.000], [0.000, 7.858, 0.000], [0.000, -3.929, 6.805]], "species": ["Au", "Zn", "Au", "Zn", "Li", "Au", "Zn", "Li", "Au", "Zn", "Zn", "Au", "Au", "Zn", "Au", "Au", "Au", "Au"], "frac_coords": [[0.250, 0.684, 0.000], [0.750, 0.658, 0.000], [0.750, 0.000, 0.316], [0.250, 0.342, 0.000], [0.500, 0.000, 0.000], [0.500, 0.667, 0.333], [0.750, 0.342, 0.342], [0.000, 0.000, 0.000], [0.250, 0.316, 0.316], [0.250, 0.658, 0.658], [0.250, 0.000, 0.342], [0.750, 0.316, 0.000], [0.500, 0.333, 0.667], [0.750, 0.000, 0.658], [0.000, 0.667, 0.333], [0.000, 0.333, 0.667], [0.250, 0.000, 0.684], [0.750, 0.684, 0.684]], "formation_energy_ev_per_atom": -0.242, "energy_ev_per_atom": -2.70}

=====

(3)
{"formula": "Li14ZnAu", "functional": "PBE", "state": "relaxed", "lattice": [[6.104, -0.013, 0.000], [0.013, 6.104, 0.000], [0.000, 0.000, 7.727]], "species": ["Li", "Li", "Li", "Li", "Li", "Zn", "Li", "Li", "Li", "Au", "Li", "Li", "Li", "Li", "Li", "Li"], "frac_coords": [[0.621, 0.621, 0.726], [0.875, 0.875, 0.000], [0.621, 0.129, 0.726], [0.375, 0.875, 0.500], [0.621, 0.621, 0.274], [0.875, 0.875, 0.500], [0.129, 0.621, 0.726], [0.875, 0.375, 0.000], [0.875, 0.375, 0.500], [0.375, 0.375, 0.500], [0.129, 0.129, 0.726], [0.621, 0.129, 0.274], [0.129, 0.621, 0.274], [0.375, 0.875, 0.000], [0.375, 0.375, 0.000], [0.129, 0.129, 0.274]], "formation_energy_ev_per_atom": -0.118, "energy_ev_per_atom": -2.08}